Here is a geometry-optimized Sc6Al3Cu structure from the Alexandria database. Energies are from GGA-PBE.

```
20
Lattice="4.819 0.000 0.000 0.000 7.862 -2.766 0.000 -0.066 10.653" Properties=species:S:1:pos:R:3 pbc="T T T"
Sc 1.205 3.623 -0.427
Sc 3.615 4.173 8.314
Sc 1.205 1.093 1.353
Sc 3.615 6.703 6.534
Sc 1.205 5.238 5.218
Sc 3.615 2.558 2.669
Sc 1.205 1.846 4.605
Sc 3.615 5.950 3.283
Sc 1.205 6.619 0.947
Sc 3.615 1.177 6.941
Sc 1.205 0.730 8.934
Sc 3.615 7.066 -1.047
Al 1.205 4.110 2.510
Al 3.615 3.687 5.377
Al 1.205 3.052 7.221
Al 3.615 4.744 0.667
Al 1.205 5.996 8.211
Al 3.615 1.800 -0.324
Cu 1.205 7.516 3.704
Cu 3.615 0.281 4.184
```

Values from the calculation:
**Symmetry**: P2_1/m
**Crystal system**: monoclinic
**Total energy**: -113.02 eV per cell


Here is a geometry-optimized ScAl2Cu structure from the Alexandria database. Energies are from GGA-PBE.

```
32
Lattice="5.277 0.000 0.000 0.000 6.695 0.000 0.000 0.000 15.078" Properties=species:S:1:pos:R:3 pbc="T T T"
Sc 2.481 1.674 2.172
Sc 5.119 5.021 5.367
Sc 2.796 5.021 12.906
Sc 0.158 1.674 9.711
Sc 3.881 1.674 5.867
Sc 1.243 5.021 1.673
Sc 1.396 5.021 9.212
Sc 4.034 1.674 13.406
Al 5.070 0.354 3.268
Al 2.431 6.341 4.271
Al 0.207 3.701 11.811
Al 2.845 2.994 10.807
Al 0.207 6.341 11.811
Al 2.845 0.354 10.807
Al 5.070 2.994 3.268
Al 2.431 3.701 4.271
Al 3.884 3.684 0.484
Al 1.245 3.010 7.055
Al 1.393 0.337 14.595
Al 4.032 6.358 8.023
Al 1.393 3.010 14.595
Al 4.032 3.684 8.023
Al 3.884 6.358 0.484
Al 1.245 0.337 7.055
Cu 1.180 1.674 4.932
Cu 3.818 5.021 2.608
Cu 4.097 5.021 10.147
Cu 1.459 1.674 12.471
Cu 5.208 1.674 1.102
Cu 2.570 5.021 6.437
Cu 0.069 5.021 13.976
Cu 2.707 1.674 8.641
```

Values from the calculation:
**Symmetry**: Pnma
**Crystal system**: orthorhombic
**Total energy**: -157.05 eV per cell


Here is a geometry-optimized Sc3Al2Cu structure from the Alexandria database. Energies are from GGA-PBE.

```
6
Lattice="-2.515 -1.740 0.974 1.419 -0.460 2.842 -4.786 9.075 3.857" Properties=species:S:1:pos:R:3 pbc="T T T"
Sc 0.000 0.000 0.000
Sc -3.111 5.899 2.507
Sc -1.675 3.176 1.350
Al -4.494 6.382 5.088
Al -1.388 0.492 2.585
Cu -2.941 3.437 3.837
```

Values from the calculation:
**Symmetry**: P4/mmm
**Crystal system**: tetragonal
**Total energy**: -32.99 eV per cell


Here is a geometry-optimized ScAl3Cu2 structure from the Alexandria database. Energies are from GGA-PBE.

```
12
Lattice="-0.665 -0.646 -4.071 3.115 -1.984 1.947 -7.784 -9.491 2.779" Properties=species:S:1:pos:R:3 pbc="T T T"
Sc -1.946 -2.373 0.695
Sc -5.838 -7.118 2.084
Al -3.892 -4.746 1.389
Al 0.000 0.000 0.000
Al -4.252 -7.003 -0.334
Al 0.899 -2.703 0.282
Al -6.234 -9.419 0.373
Al -1.082 -5.119 0.990
Cu -2.567 -4.948 -0.936
Cu -2.767 -7.174 1.591
Cu -5.199 -10.140 2.459
Cu -0.135 -1.982 -1.804
```

Values from the calculation:
**Symmetry**: P6_3/mmc
**Crystal system**: hexagonal
**Total energy**: -55.14 eV per cell


Here is a geometry-optimized ScAl2Cu structure from the Alexandria database. Energies are from GGA-PBE.

```
4
Lattice="-0.836 2.655 -4.480 -1.060 -0.331 -5.156 -4.613 0.559 -0.944" Properties=species:S:1:pos:R:3 pbc="T T T"
Sc -1.627 0.721 -2.645
Al -4.522 0.602 -1.164
Al -3.345 1.398 -5.069
Cu -4.882 2.162 -7.935
```

Values from the calculation:
**Symmetry**: C2/m
**Crystal system**: monoclinic
**Total energy**: -18.67 eV per cell


Here is a geometry-optimized Sc6Al5Cu structure from the Alexandria database. Energies are from GGA-PBE.

```
12
Lattice="-1.024 4.575 -0.827 -6.184 -1.753 -2.041 -2.919 2.989 6.278" Properties=species:S:1:pos:R:3 pbc="T T T"
Sc -6.468 3.482 -0.184
Sc -3.333 4.370 0.851
Sc -2.017 1.861 -0.910
Sc -5.191 0.961 -1.958
Sc -6.794 1.440 2.559
Sc -3.660 2.329 3.593
Al -5.711 4.165 2.585
Al -1.318 2.521 1.828
Al -3.092 -0.877 -1.020
Al -2.625 5.043 3.623
Al -4.416 1.645 0.824
Cu 0.000 0.000 0.000
```

Values from the calculation:
**Symmetry**: P2/m
**Crystal system**: monoclinic
**Total energy**: -65.82 eV per cell


Here is a geometry-optimized ScAl2Cu structure from the Alexandria database. Energies are from GGA-PBE.

```
4
Lattice="9.067 -0.010 -0.006 8.579 2.936 -0.006 8.579 1.422 2.568" Properties=species:S:1:pos:R:3 pbc="T T T"
Sc 19.668 3.261 1.917
Al 25.977 4.307 2.532
Al 13.359 2.215 1.302
Cu 6.556 1.087 0.639
```

Values from the calculation:
**Symmetry**: R-3m
**Crystal system**: trigonal
**Total energy**: -18.24 eV per cell


Here is a geometry-optimized Sc8AlCu2 structure from the Alexandria database. Energies are from GGA-PBE.

```
11
Lattice="-0.078 2.861 -1.670 -3.296 -3.829 -6.407 -5.350 3.032 8.732" Properties=species:S:1:pos:R:3 pbc="T T T"
Sc -3.827 -0.427 -3.840
Sc -4.896 0.928 1.819
Sc -1.788 0.749 1.367
Sc -1.482 -1.001 -1.647
Sc -6.935 1.314 -0.712
Sc -3.828 1.135 -1.164
Sc -4.897 2.490 4.495
Sc -7.241 3.065 2.302
Al -0.039 1.430 -0.835
Cu -5.473 -1.111 -1.648
Cu -3.250 3.175 2.304
```

Values from the calculation:
**Polymorph energy (0 for the lowest one)**: 0 meV per atom
**Symmetry**: C2/m
**Crystal system**: monoclinic
**Total energy**: -64.16 eV per cell


Here is a geometry-optimized ScAl2Cu structure from the Alexandria database. Energies are from GGA-PBE.

```
4
Lattice="4.284 0.000 0.000 0.000 3.096 0.005 0.000 0.846 5.195" Properties=species:S:1:pos:R:3 pbc="T T T"
Sc 2.142 2.957 3.900
Al 0.000 0.461 0.063
Al 0.000 1.510 2.536
Cu 2.142 0.986 1.300
```

Values from the calculation:
**Symmetry**: P2/m
**Crystal system**: monoclinic
**Total energy**: -18.99 eV per cell


Here is a geometry-optimized Sc2Al3Cu4 structure from the Alexandria database. Energies are from GGA-PBE.

```
18
Lattice="5.334 0.000 0.000 0.000 7.037 0.000 -2.667 0.000 7.518" Properties=species:S:1:pos:R:3 pbc="T T T"
Sc 0.000 4.238 1.476
Sc 2.667 2.799 6.042
Sc 0.000 0.719 6.042
Sc 2.667 6.318 1.476
Al 0.000 0.000 0.000
Al 2.667 3.519 0.000
Al 1.334 5.278 3.927
Al 4.001 1.759 3.591
Al 1.334 1.759 3.591
Al -1.334 5.278 3.927
Cu 1.334 5.278 6.447
Cu 4.001 1.759 1.072
Cu 1.334 1.759 1.072
Cu -1.334 5.278 6.447
Cu 0.000 6.933 2.521
Cu 2.667 0.104 4.997
Cu 0.000 3.414 4.997
Cu 2.667 3.623 2.521
```

Values from the calculation:
**Symmetry**: Cmce
**Crystal system**: orthorhombic
**Total energy**: -86.81 eV per cell


Here is a geometry-optimized ScAlCu structure from the Alexandria database. Energies are from GGA-PBE.

```
6
Lattice="-0.906 2.567 -2.926 -3.353 1.010 1.925 3.221 4.713 3.138" Properties=species:S:1:pos:R:3 pbc="T T T"
Sc -1.009 3.428 0.591
Sc 2.101 3.074 2.046
Al -0.453 1.284 -1.463
Al 1.545 5.218 4.100
Cu 0.333 5.392 1.898
Cu 0.759 1.110 0.739
```

Values from the calculation:
**Symmetry**: P4/nmm
**Crystal system**: tetragonal
**Total energy**: -30.45 eV per cell


Here is a geometry-optimized ScAl2Cu9 structure from the Alexandria database. Energies are from GGA-PBE.

```
12
Lattice="-4.032 1.822 2.063 -4.177 -2.522 -0.160 -0.848 -3.794 7.471" Properties=species:S:1:pos:R:3 pbc="T T T"
Sc 0.000 0.000 0.000
Al -7.396 -2.233 4.847
Al -1.661 -2.261 4.527
Cu -5.470 -0.472 1.280
Cu -3.587 -4.021 8.094
Cu -4.529 -2.247 4.687
Cu -3.594 -1.269 2.715
Cu -5.643 -0.343 3.764
Cu -5.716 -2.551 2.634
Cu -5.463 -3.224 6.659
Cu -3.341 -1.943 6.740
Cu -3.415 -4.150 5.610
```

Values from the calculation:
**Symmetry**: R-3m
**Crystal system**: trigonal
**Total energy**: -52.28 eV per cell